Below is a relaxed structure of Sr3Cr2S2O5, with properties calculated at the PBE with a Hubbard U level.

DFT total energy = -6.39 eV per atom

```
data_Sr3Cr2S2O5
_chemical_formula_sum 'Sr6 Cr4 S4 O10'
_symmetry_space_group_name_H-M 'I 4/m m m'
_symmetry_Int_Tables_number 139
_symmetry_space_group_name_Hall '-I 4 2'
_cell_length_a 4.0221
_cell_length_b 4.0221
_cell_length_c 22.5814
_cell_angle_alpha 90.00
_cell_angle_beta 90.00
_cell_angle_gamma 90.00
loop_
_atom_site_label
_atom_site_type_symbol
_atom_site_fract_x
_atom_site_fract_y
_atom_site_fract_z
Sr1 Sr 0.0000 0.0000 0.0000
Sr2 Sr 0.0000 0.0000 0.1636
Cr1 Cr 0.0000 0.0000 0.4147
S1 S 0.0000 0.0000 0.3039
O1 O 0.0000 0.0000 0.5000
O2 O 0.0000 0.5000 0.0865
```